[1]
# AcEuY2 (PBE, optimized geometry)
# M_tot = 1.798 μB per atom
# Energy = -0.4920 Ry per atom
# SG = No. 225
data_AcEuY2
_chemical_formula_sum 'Ac1 Eu1 Y2'
_cell_length_a 5.954
_cell_length_b 5.954
_cell_length_c 5.954
_cell_angle_alpha 60.00
_cell_angle_beta 60.00
_cell_angle_gamma 60.00
_symmetry_space_group_name_H-M 'P 1'
_symmetry_Int_Tables_number 1
_symmetry_space_group_name_Hall 'P 1'
loop_
_atom_site_label
_atom_site_type_symbol
_atom_site_fract_x
_atom_site_fract_y
_atom_site_fract_z
_atom_site_occupancy
Eu1 Eu 0.000 0.000 0.000 1
Y1 Y 0.250 0.250 0.250 1
Y2 Y 0.750 0.750 0.750 1
Ac1 Ac 0.500 0.500 0.500 1

[2]
# Li2Ni6W (PBE, optimized geometry)
# M_tot = 0.000 μB per atom
# Energy = -0.4151 Ry per atom
# SG = No. 15
data_Li2Ni6W
_chemical_formula_sum 'Li4 Ni12 W2'
_cell_length_a 4.486
_cell_length_b 7.163
_cell_length_c 7.163
_cell_angle_alpha 108.66
_cell_angle_beta 98.61
_cell_angle_gamma 98.61
_symmetry_space_group_name_H-M 'P 1'
_symmetry_Int_Tables_number 1
_symmetry_space_group_name_Hall 'P 1'
loop_
_atom_site_label
_atom_site_type_symbol
_atom_site_fract_x
_atom_site_fract_y
_atom_site_fract_z
_atom_site_occupancy
Li1 Li 0.145 0.349 0.345 1
Li2 Li 0.355 0.655 0.651 1
Li3 Li 0.855 0.651 0.655 1
Li4 Li 0.645 0.345 0.349 1
Ni1 Ni 0.539 0.369 0.758 1
Ni2 Ni 0.961 0.242 0.631 1
Ni3 Ni 0.461 0.631 0.242 1
Ni4 Ni 0.039 0.758 0.369 1
Ni5 Ni 0.649 0.905 0.556 1
Ni6 Ni 0.851 0.444 0.095 1
Ni7 Ni 0.351 0.095 0.444 1
Ni8 Ni 0.149 0.556 0.905 1
Ni9 Ni 0.300 0.279 0.013 1
Ni10 Ni 0.200 0.987 0.721 1
Ni11 Ni 0.700 0.721 0.987 1
Ni12 Ni 0.800 0.013 0.279 1
W1 W 0.250 0.926 0.074 1
W2 W 0.750 0.074 0.926 1

[3]
# Ba2BiRh2 (PBE, optimized geometry)
# M_tot = 0.000 μB per atom
# Energy = -0.3509 Ry per atom
# SG = No. 127
data_Ba2BiRh2
_chemical_formula_sum 'Ba4 Bi2 Rh4'
_cell_length_a 7.555
_cell_length_b 7.555
_cell_length_c 4.903
_cell_angle_alpha 90.00
_cell_angle_beta 90.00
_cell_angle_gamma 90.00
_symmetry_space_group_name_H-M 'P 1'
_symmetry_Int_Tables_number 1
_symmetry_space_group_name_Hall 'P 1'
loop_
_atom_site_label
_atom_site_type_symbol
_atom_site_fract_x
_atom_site_fract_y
_atom_site_fract_z
_atom_site_occupancy
Rh1 Rh 0.379 0.879 0.000 1
Rh2 Rh 0.879 0.621 0.000 1
Rh3 Rh 0.621 0.121 0.000 1
Rh4 Rh 0.121 0.379 0.000 1
Bi1 Bi 0.000 0.000 0.000 1
Bi2 Bi 0.500 0.500 0.000 1
Ba1 Ba 0.180 0.680 0.500 1
Ba2 Ba 0.680 0.820 0.500 1
Ba3 Ba 0.820 0.320 0.500 1
Ba4 Ba 0.320 0.180 0.500 1

Question: Number 1 is which compound?
Answer: AcEuY2

Repeat the first record exactly.
# AcEuY2 (PBE, optimized geometry)
# M_tot = 1.798 μB per atom
# Energy = -0.4920 Ry per atom
# SG = No. 225
data_AcEuY2
_chemical_formula_sum 'Ac1 Eu1 Y2'
_cell_length_a 5.954
_cell_length_b 5.954
_cell_length_c 5.954
_cell_angle_alpha 60.00
_cell_angle_beta 60.00
_cell_angle_gamma 60.00
_symmetry_space_group_name_H-M 'P 1'
_symmetry_Int_Tables_number 1
_symmetry_space_group_name_Hall 'P 1'
loop_
_atom_site_label
_atom_site_type_symbol
_atom_site_fract_x
_atom_site_fract_y
_atom_site_fract_z
_atom_site_occupancy
Eu1 Eu 0.000 0.000 0.000 1
Y1 Y 0.250 0.250 0.250 1
Y2 Y 0.750 0.750 0.750 1
Ac1 Ac 0.500 0.500 0.500 1

Question: Look up the energy of the second one.
Answer: -0.4151 Ry per atom

Question: Among the records above, which one has the highest energy?
Answer: Ba2BiRh2